[1]
Here is a relaxed AcPuTe2S crystal from Alexandria via LeMat-Bulk. Energies are from PBE.

Lattice parameters (Å, degrees): 4.5731 4.5731 15.9282 90.00 90.00 90.00
Sites, in units of the cell vectors:
Ac (0.2500, 0.2500, 0.1144)
Ac (0.7500, 0.7500, 0.8856)
Pu (0.2500, 0.2500, 0.6030)
Pu (0.7500, 0.7500, 0.3970)
Te (0.2500, 0.2500, 0.4036)
Te (0.2500, 0.2500, 0.7926)
Te (0.7500, 0.7500, 0.2074)
Te (0.7500, 0.7500, 0.5964)
S (0.2500, 0.7500, 0.0000)
S (0.7500, 0.2500, 0.0000)

## Properties
M_tot = 5.247 μB/f.u.

[2]
Here is a relaxed AcPu2ThS4 crystal from Alexandria via LeMat-Bulk. Energies are from PBE.

Lattice parameters (Å, degrees): 6.9980 4.0476 7.1253 90.00 109.42 90.00
Sites, in units of the cell vectors:
Ac (0.0000, 0.0000, 0.0000)
Pu (0.5000, 0.0000, 0.5000)
Pu (0.5000, 0.5000, 0.0000)
Th (0.0000, 0.5000, 0.5000)
S (0.2631, 0.0000, 0.7473)
S (0.2684, 0.5000, 0.2655)
S (0.7316, 0.5000, 0.7345)
S (0.7369, 0.0000, 0.2527)

## Properties
M_tot = 0.064 μB/f.u.

[3]
Here is a relaxed Ac2PuTl3S6 crystal from Alexandria via LeMat-Bulk. Energies are from PBE.

Lattice parameters (Å, degrees): 7.5063 7.5063 7.8292 99.19 99.19 119.96
Sites, in units of the cell vectors:
Ac (0.1669, 0.8331, 0.0000)
Ac (0.8331, 0.1669, 0.0000)
Pu (0.5000, 0.5000, 0.0000)
Tl (0.0000, 0.0000, 0.5000)
Tl (0.3351, 0.6649, 0.5000)
Tl (0.6649, 0.3351, 0.5000)
S (0.1158, 0.4316, 0.7954)
S (0.2531, 0.2531, 0.2089)
S (0.4316, 0.1158, 0.7954)
S (0.5684, 0.8842, 0.2046)
S (0.7469, 0.7469, 0.7911)
S (0.8842, 0.5684, 0.2046)

## Properties
M_tot = 5.000 μB/f.u.

[4]
Here is a relaxed AcTmPu2S4 crystal from Alexandria via LeMat-Bulk. Energies are from PBE.

Lattice parameters (Å, degrees): 6.9718 4.0073 7.0156 90.00 109.12 90.00
Sites, in units of the cell vectors:
Ac (0.0000, 0.0000, 0.0000)
Tm (0.0000, 0.5000, 0.5000)
Pu (0.5000, 0.0000, 0.5000)
Pu (0.5000, 0.5000, 0.0000)
S (0.2495, 0.0000, 0.7332)
S (0.2625, 0.5000, 0.2717)
S (0.7375, 0.5000, 0.7283)
S (0.7505, 0.0000, 0.2668)

## Properties
M_tot = 11.548 μB/f.u.

[5]
Here is a relaxed Ac2TmPuS6 crystal from Alexandria via LeMat-Bulk. Energies are from PBE.

Lattice parameters (Å, degrees): 7.4823 7.4823 7.4823 58.09 58.09 58.09
Sites, in units of the cell vectors:
Ac (0.0000, 0.0000, 0.0000)
Ac (0.4996, 0.4996, 0.4996)
Tm (0.7133, 0.7133, 0.7133)
Pu (0.2138, 0.2138, 0.2138)
S (0.0683, 0.4346, 0.8491)
S (0.3546, 0.9270, 0.5760)
S (0.4346, 0.8491, 0.0683)
S (0.5760, 0.3546, 0.9270)
S (0.8491, 0.0683, 0.4346)
S (0.9270, 0.5760, 0.3546)

## Properties
M_tot = 5.000 μB/f.u.

[6]
Here is a relaxed AcPu2US8 crystal from Alexandria via LeMat-Bulk. Energies are from PBE.

Lattice parameters (Å, degrees): 6.2310 8.4463 6.2592 90.00 90.43 90.00
Sites, in units of the cell vectors:
Ac (0.0000, 0.0000, 0.0000)
Pu (0.5000, 0.2532, 0.5000)
Pu (0.5000, 0.7468, 0.5000)
U (0.0000, 0.5000, 0.0000)
S (0.1492, 0.2812, 0.7617)
S (0.1492, 0.7188, 0.7617)
S (0.3371, 0.5000, 0.2640)
S (0.3894, 0.0000, 0.2678)
S (0.6106, 0.0000, 0.7322)
S (0.6629, 0.5000, 0.7360)
S (0.8508, 0.2812, 0.2383)
S (0.8508, 0.7188, 0.2383)

## Properties
M_tot = 9.006 μB/f.u.

[7]
Here is a relaxed AcY2PuS4 crystal from Alexandria via LeMat-Bulk. Energies are from PBE.

Lattice parameters (Å, degrees): 6.9710 4.0008 7.0494 90.00 109.03 90.00
Sites, in units of the cell vectors:
Ac (0.0000, 0.0000, 0.0000)
Y (0.0000, 0.5000, 0.5000)
Y (0.5000, 0.0000, 0.5000)
Pu (0.5000, 0.5000, 0.0000)
S (0.2554, 0.0000, 0.7375)
S (0.2664, 0.5000, 0.2709)
S (0.7336, 0.5000, 0.7291)
S (0.7446, 0.0000, 0.2625)

## Properties
M_tot = 5.893 μB/f.u.

[8]
Here is a relaxed AcYPu2S4 crystal from Alexandria via LeMat-Bulk. Energies are from PBE.

Lattice parameters (Å, degrees): 7.0111 4.0304 7.0236 90.00 109.21 90.00
Sites, in units of the cell vectors:
Ac (0.0000, 0.0000, 0.0000)
Y (0.0000, 0.5000, 0.5000)
Pu (0.5000, 0.0000, 0.5000)
Pu (0.5000, 0.5000, 0.0000)
S (0.2550, 0.0000, 0.7386)
S (0.2653, 0.5000, 0.2687)
S (0.7347, 0.5000, 0.7313)
S (0.7450, 0.0000, 0.2614)

## Properties
M_tot = 11.482 μB/f.u.

[9]
Here is a relaxed Ac4YPu3S8 crystal from Alexandria via LeMat-Bulk. Energies are from PBE.

Lattice parameters (Å, degrees): 8.3227 8.3227 8.3227 59.08 59.08 59.08
Sites, in units of the cell vectors:
Ac (0.0000, 0.0000, 0.0000)
Ac (0.0000, 0.5000, 0.5000)
Ac (0.5000, 0.0000, 0.5000)
Ac (0.5000, 0.5000, 0.0000)
Y (0.5000, 0.5000, 0.5000)
Pu (0.0000, 0.0000, 0.5000)
Pu (0.0000, 0.5000, 0.0000)
Pu (0.5000, 0.0000, 0.0000)
S (0.2414, 0.2414, 0.2414)
S (0.2432, 0.7405, 0.7405)
S (0.2595, 0.2595, 0.7568)
S (0.2595, 0.7568, 0.2595)
S (0.7405, 0.2432, 0.7405)
S (0.7405, 0.7405, 0.2432)
S (0.7568, 0.2595, 0.2595)
S (0.7586, 0.7586, 0.7586)

## Properties
M_tot = 17.114 μB/f.u.

[10]
Here is a relaxed Ac2YPuS4 crystal from Alexandria via LeMat-Bulk. Energies are from PBE.

Lattice parameters (Å, degrees): 7.1027 4.0838 7.2380 90.00 108.94 90.00
Sites, in units of the cell vectors:
Ac (0.0000, 0.0000, 0.0000)
Ac (0.5000, 0.5000, 0.0000)
Y (0.0000, 0.5000, 0.5000)
Pu (0.5000, 0.0000, 0.5000)
S (0.2386, 0.0000, 0.7228)
S (0.2571, 0.5000, 0.2764)
S (0.7429, 0.5000, 0.7236)
S (0.7614, 0.0000, 0.2772)

## Properties
M_tot = 5.731 μB/f.u.

[11]
Here is a relaxed Ac2YPuS6 crystal from Alexandria via LeMat-Bulk. Energies are from PBE.

Lattice parameters (Å, degrees): 7.5333 7.5333 7.5333 57.91 57.91 57.91
Sites, in units of the cell vectors:
Ac (0.0000, 0.0000, 0.0000)
Ac (0.5001, 0.5001, 0.5001)
Y (0.2130, 0.2130, 0.2130)
Pu (0.7129, 0.7129, 0.7129)
S (0.0768, 0.8490, 0.4259)
S (0.3465, 0.5732, 0.9290)
S (0.4259, 0.0768, 0.8490)
S (0.5732, 0.9290, 0.3465)
S (0.8490, 0.4259, 0.0768)
S (0.9290, 0.3465, 0.5732)

## Properties
M_tot = 5.000 μB/f.u.

[12]
Here is a relaxed AcPuSb2 crystal from Alexandria via LeMat-Bulk. Energies are from PBE.

Lattice parameters (Å, degrees): 4.6423 7.5643 7.9227 90.00 90.00 90.00
Sites, in units of the cell vectors:
Ac (0.2500, 0.2500, 0.0924)
Ac (0.7500, 0.7500, 0.9076)
Pu (0.2500, 0.7500, 0.4214)
Pu (0.7500, 0.2500, 0.5786)
Sb (0.2500, 0.0121, 0.7316)
Sb (0.2500, 0.4879, 0.7316)
Sb (0.7500, 0.5121, 0.2684)
Sb (0.7500, 0.9879, 0.2684)

## Properties
M_tot = 5.503 μB/f.u.

Number 1: E_form (uncorrected) -1393 meV per atom. Number 2: E_form (uncorrected) -1816 meV per atom. Number 3: E_form (uncorrected) -1378 meV per atom. Number 4: E_form (uncorrected) -1833 meV per atom. Number 5: E_form (uncorrected) -1966 meV per atom. Number 6: E_form (uncorrected) -1420 meV per atom. Number 7: E_form (uncorrected) -1928 meV per atom. Number 8: E_form (uncorrected) -1860 meV per atom. Number 9: E_form (uncorrected) -1900 meV per atom. Number 10: E_form (uncorrected) -1932 meV per atom. Number 11: E_form (uncorrected) -1967 meV per atom. Number 12: E_form (uncorrected) -806 meV per atom.